(1)
Crystalline PrUMn at its relaxed geometry, computed with PBE.

abc: 6.187 6.187 8.691
angles: 128.94 128.94 32.44
Fractional coordinates of all 6 atoms:
Pr1 0.072 0.072 0.330
Pr2 0.928 0.928 0.670
U1 0.299 0.299 0.892
U2 0.701 0.701 0.108
Mn1 0.343 0.343 0.310
Mn2 0.657 0.657 0.690

Computed properties:
**Calculated total energy**: -8.246 eV per atom
**Calculated volume**: 22.5 Å³/atom
**Total magnetization**: 0.00 μB/f.u.
**Energy relative to the elements**: 0.50 eV per formula unit

---

(2)
Crystalline PrYMn at its relaxed geometry, computed with PBE.

abc: 6.983 6.983 6.983
angles: 150.31 150.31 42.48
Fractional coordinates of all 3 atoms:
Pr1 0.000 0.000 0.000
Y1 0.274 0.274 0.000
Mn1 0.643 0.643 0.000

Computed properties:
**Calculated total energy**: -6.596 eV per atom
**Calculated volume**: 27.8 Å³/atom
**Total magnetization**: 2.90 μB/f.u.
**Energy relative to the elements**: 0.62 eV per formula unit

---

(3)
Crystalline PrY2Mn at its relaxed geometry, computed with PBE.

abc: 3.516 3.516 9.179
angles: 90.00 90.00 90.00
Fractional coordinates of all 4 atoms:
Pr1 0.000 0.000 0.000
Y1 0.500 0.500 0.308
Y2 0.500 0.500 0.692
Mn1 0.000 0.000 0.500

Computed properties:
**Calculated total energy**: -6.593 eV per atom
**Calculated volume**: 28.4 Å³/atom
**Total magnetization**: 2.93 μB/f.u.
**Energy relative to the elements**: 0.50 eV per formula unit

---

(4)
Crystalline Pr2YMn at its relaxed geometry, computed with PBE.

abc: 3.664 3.664 8.948
angles: 90.00 90.00 90.00
Fractional coordinates of all 4 atoms:
Pr1 0.000 0.000 0.210
Pr2 0.000 0.000 0.790
Y1 0.500 0.500 0.500
Mn1 0.500 0.500 0.000

Computed properties:
**Calculated total energy**: -6.112 eV per atom
**Calculated volume**: 30.0 Å³/atom
**Total magnetization**: 4.07 μB/f.u.
**Energy relative to the elements**: 0.74 eV per formula unit

---

(5)
Crystalline PrYMnZn at its relaxed geometry, computed with PBE.

abc: 5.141 5.141 5.141
angles: 60.00 60.00 60.00
Fractional coordinates of all 4 atoms:
Pr1 0.000 0.000 0.000
Y1 0.500 0.500 0.500
Mn1 0.250 0.250 0.250
Zn1 0.750 0.750 0.750

Computed properties:
**Calculated total energy**: -5.428 eV per atom
**Calculated volume**: 24.0 Å³/atom
**Total magnetization**: 3.07 μB/f.u.
**Energy relative to the elements**: -0.03 eV per formula unit

---

(6)
Crystalline PrMnZn11 at its relaxed geometry, computed with PBE.

abc: 6.836 6.836 6.880
angles: 98.37 98.37 134.85
Fractional coordinates of all 13 atoms:
Pr1 0.000 0.000 0.000
Mn1 0.500 0.500 0.500
Zn1 0.000 0.000 0.500
Zn2 0.000 0.500 0.000
Zn3 0.018 0.369 0.356
Zn4 0.279 0.502 0.776
Zn5 0.369 0.018 0.356
Zn6 0.498 0.721 0.224
Zn7 0.500 0.000 0.000
Zn8 0.502 0.279 0.776
Zn9 0.631 0.982 0.644
Zn10 0.721 0.498 0.224
Zn11 0.982 0.631 0.644

Computed properties:
**Calculated total energy**: -2.305 eV per atom
**Calculated volume**: 16.2 Å³/atom
**Total magnetization**: 3.35 μB/f.u.
**Energy relative to the elements**: -2.00 eV per formula unit

---

The lowest calculated volume belongs to which entry? PrMnZn11